[1]
The following is a PBE+U calculation of KV2PdO after structural relaxation, from Alexandria.

## Properties
Raw total energy: -21.52 eV/cell

Lattice parameters (Å, degrees): 5.1357 5.1357 4.4026 90.00 90.00 90.00
Space group P4/mmm (No. 123)
Symmetry-distinct sites (fractional):
K 0.0000 0.0000 0.0000
V 0.0000 0.5000 0.5000
Pd 0.5000 0.5000 0.5000
O 0.5000 0.5000 0.0000

***

[2]
The following is a PBE+U calculation of K2VPdO4 after structural relaxation, from Alexandria.

## Properties
Raw total energy: -93.19 eV/cell

Lattice parameters (Å, degrees): 6.2645 6.2645 6.8453 90.00 90.00 90.00
Space group I-4 (No. 82)
Symmetry-distinct sites (fractional):
K 0.0000 0.0000 0.0000
K 0.0000 0.5000 0.2500
V 0.0000 0.0000 0.5000
Pd 0.0000 0.5000 0.7500
O 0.1282 0.8125 0.6521

***

[3]
The following is a PBE+U calculation of K3V2PdO8 after structural relaxation, from Alexandria.

## Properties
Raw total energy: -85.75 eV/cell

Lattice parameters (Å, degrees): 5.7975 5.7975 7.5518 90.00 90.00 120.00
Space group P-3m1 (No. 164)
Symmetry-distinct sites (fractional):
K 0.0000 0.0000 0.0000
K 0.3333 0.6667 0.6888
V 0.3333 0.6667 0.2555
Pd 0.0000 0.0000 0.5000
O 0.1668 0.3336 0.3312
O 0.3333 0.6667 0.0329